Record 1
! Pa3Co8SiB2 PBE-GGA relaxed; values from VASP
! Space-group type: P-3m1, No. 164
! Formation energy without anion corrections in kJ per mole of atoms: -29.4
! Total energy in eV per atom: -7.74
&SYSTEM
  ibrav = 0, nat = 14, ntyp = 4
/
ATOMIC_SPECIES
Pa 231.04 Pa.upf
Co 58.93 Co.upf
Si 28.09 Si.upf
B 10.81 B.upf
ATOMIC_POSITIONS crystal
Pa 0.333 0.667 0.585
Pa 0.667 0.333 0.415
Pa 0.000 0.000 0.000
Co 0.333 0.667 0.865
Co 0.667 0.333 0.135
Co 0.168 0.832 0.270
Co 0.832 0.168 0.730
Co 0.168 0.337 0.270
Co 0.832 0.663 0.730
Co 0.663 0.832 0.270
Co 0.337 0.168 0.730
Si 0.000 0.000 0.500
B 0.333 0.667 0.103
B 0.667 0.333 0.897
CELL_PARAMETERS angstrom
-3.123 3.889 0.303
-1.443 -4.497 1.632
3.029 1.831 7.722

Record 2
! Pa3Co9SiB2 PBE-GGA relaxed; values from VASP
! Space-group type: P-3m1, No. 164
! Formation energy without anion corrections in kJ per mole of atoms: -42.9
! Total energy in eV per atom: -7.86
&SYSTEM
  ibrav = 0, nat = 15, ntyp = 4
/
ATOMIC_SPECIES
Pa 231.04 Pa.upf
Co 58.93 Co.upf
Si 28.09 Si.upf
B 10.81 B.upf
ATOMIC_POSITIONS crystal
Pa 0.333 0.667 0.655
Pa 0.000 0.000 0.000
Pa 0.667 0.333 0.345
Co 0.835 0.165 0.710
Co 0.835 0.669 0.710
Co 0.331 0.165 0.710
Co 0.669 0.835 0.290
Co 0.165 0.331 0.290
Co 0.165 0.835 0.290
Co 0.500 0.000 0.000
Co 0.000 0.500 0.000
Co 0.500 0.500 0.000
Si 0.000 0.000 0.500
B 0.333 0.667 0.148
B 0.667 0.333 0.852
CELL_PARAMETERS angstrom
-1.660 4.910 -0.970
-3.292 -4.070 -0.634
-2.436 0.738 7.904

Record 3
! PaCo5Sn2B PBE-GGA relaxed; values from VASP
! Space-group type: Immm, No. 71
! Energy relative to the elements in eV per atom: -0.226
! Total energy in eV per atom: -6.86
&SYSTEM
  ibrav = 0, nat = 9, ntyp = 4
/
ATOMIC_SPECIES
Pa 231.04 Pa.upf
Co 58.93 Co.upf
Sn 118.71 Sn.upf
B 10.81 B.upf
ATOMIC_POSITIONS crystal
Pa 0.000 0.500 0.000
Co 0.608 0.850 0.216
Co 0.392 0.150 0.784
Co 0.392 0.635 0.784
Co 0.608 0.365 0.216
Co 0.000 0.000 0.000
Sn 0.213 0.213 0.426
Sn 0.787 0.787 0.574
B 0.500 0.000 0.000
CELL_PARAMETERS angstrom
3.921 0.000 0.000
0.000 5.352 0.000
-1.960 -2.676 6.291

Record 4
! PaCoTcB2 PBE-GGA relaxed; values from VASP
! Space-group type: I-4m2, No. 119
! Energy relative to the elements in eV per atom: -0.432
! Total energy in eV per atom: -8.50
&SYSTEM
  ibrav = 0, nat = 5, ntyp = 4
/
ATOMIC_SPECIES
Pa 231.04 Pa.upf
Co 58.93 Co.upf
Tc 98.00 Tc.upf
B 10.81 B.upf
ATOMIC_POSITIONS crystal
Pa 0.000 0.000 0.000
Co 0.250 0.750 0.500
Tc 0.750 0.250 0.500
B 0.614 0.614 0.227
B 0.386 0.386 0.773
CELL_PARAMETERS angstrom
-3.326 -1.860 0.305
1.884 -3.257 0.675
0.645 3.375 3.660

Record 5
! Pa2Co3TcB12 PBE-GGA relaxed; values from VASP
! Space-group type: R-3m, No. 166
! Energy relative to the elements in eV per atom: 0.043
! Total energy in eV per atom: -7.22
&SYSTEM
  ibrav = 0, nat = 18, ntyp = 4
/
ATOMIC_SPECIES
Pa 231.04 Pa.upf
Co 58.93 Co.upf
Tc 98.00 Tc.upf
B 10.81 B.upf
ATOMIC_POSITIONS crystal
Pa 0.643 0.643 0.643
Pa 0.357 0.357 0.357
Co 0.500 0.000 0.000
Co 0.000 0.500 0.000
Co 0.000 0.000 0.500
Tc 0.000 0.000 0.000
B 0.345 0.345 0.020
B 0.952 0.952 0.328
B 0.328 0.952 0.952
B 0.020 0.345 0.345
B 0.952 0.328 0.952
B 0.345 0.020 0.345
B 0.655 0.655 0.980
B 0.048 0.048 0.672
B 0.672 0.048 0.048
B 0.980 0.655 0.655
B 0.048 0.672 0.048
B 0.655 0.980 0.655
CELL_PARAMETERS angstrom
-8.098 -0.393 -1.443
-5.575 -3.833 -4.695
-6.427 -5.129 0.439

Record 6
! CoBPb3 PBE-GGA relaxed; values from VASP
! Space-group type: Pm-3m, No. 221
! Energy relative to the elements in eV per atom: 1.053
! Total energy in eV per atom: -3.93
&SYSTEM
  ibrav = 0, nat = 5, ntyp = 3
/
ATOMIC_SPECIES
Pb 207.20 Pb.upf
B 10.81 B.upf
Co 58.93 Co.upf
ATOMIC_POSITIONS crystal
Pb 0.000 0.500 0.000
Pb 0.000 0.000 0.500
Pb 0.500 0.000 0.000
B 0.500 0.500 0.500
Co 0.000 0.000 0.000
CELL_PARAMETERS angstrom
-3.113 -1.074 -3.813
-2.246 -3.516 2.824
-3.263 3.445 1.694

Record 7
! CoBPb3 PBE-GGA relaxed; values from VASP
! Space-group type: Pm-3m, No. 221
! Energy relative to the elements in eV per atom: 1.130
! Total energy in eV per atom: -3.85
&SYSTEM
  ibrav = 0, nat = 5, ntyp = 3
/
ATOMIC_SPECIES
Pb 207.20 Pb.upf
B 10.81 B.upf
Co 58.93 Co.upf
ATOMIC_POSITIONS crystal
Pb 0.000 0.500 0.000
Pb 0.000 0.000 0.500
Pb 0.500 0.000 0.000
B 0.000 0.000 0.000
Co 0.500 0.500 0.500
CELL_PARAMETERS angstrom
-1.530 2.878 -3.804
-3.515 -3.381 -1.145
-3.225 2.320 3.052

Record 8
! CoBPb2 PBE-GGA relaxed; values from VASP
! Space-group type: I-42d, No. 122
! Energy relative to the elements in eV per atom: 1.105
! Total energy in eV per atom: -4.20
&SYSTEM
  ibrav = 0, nat = 8, ntyp = 3
/
ATOMIC_SPECIES
Pb 207.20 Pb.upf
B 10.81 B.upf
Co 58.93 Co.upf
ATOMIC_POSITIONS crystal
Pb 0.595 0.125 0.250
Pb 0.155 0.625 0.250
Pb 0.375 0.405 0.750
Pb 0.875 0.845 0.750
B 0.500 0.500 0.000
B 0.250 0.750 0.500
Co 0.000 0.000 0.000
Co 0.750 0.250 0.500
CELL_PARAMETERS angstrom
-4.258 2.554 -4.051
0.014 -5.414 -3.429
-5.303 -2.949 -1.353

Record 9
! Co2BPb PBE-GGA relaxed; values from VASP
! Space-group type: I-42d, No. 122
! Energy relative to the elements in eV per atom: 0.605
! Total energy in eV per atom: -5.54
&SYSTEM
  ibrav = 0, nat = 8, ntyp = 3
/
ATOMIC_SPECIES
Pb 207.20 Pb.upf
B 10.81 B.upf
Co 58.93 Co.upf
ATOMIC_POSITIONS crystal
Pb 0.000 0.000 0.000
Pb 0.750 0.250 0.500
B 0.500 0.500 0.000
B 0.250 0.750 0.500
Co 0.487 0.125 0.250
Co 0.263 0.625 0.250
Co 0.375 0.513 0.750
Co 0.875 0.737 0.750
CELL_PARAMETERS angstrom
5.071 0.000 0.000
0.000 5.071 0.000
2.535 2.535 4.981

Record 10
! Co4B2Pb PBE-GGA relaxed; values from VASP
! Space-group type: I4/mmm, No. 139
! Energy relative to the elements in eV per atom: 1.409
! Total energy in eV per atom: -5.09
&SYSTEM
  ibrav = 0, nat = 7, ntyp = 3
/
ATOMIC_SPECIES
Pb 207.20 Pb.upf
B 10.81 B.upf
Co 58.93 Co.upf
ATOMIC_POSITIONS crystal
Pb 0.000 0.000 0.000
B 0.576 0.576 0.848
B 0.424 0.424 0.152
Co 0.748 0.748 0.504
Co 0.252 0.252 0.496
Co 0.000 0.500 0.000
Co 0.500 0.000 0.000
CELL_PARAMETERS angstrom
-0.966 -4.480 -0.418
4.194 -1.052 1.576
-0.255 -2.823 5.513

Record 11
! Co2BPb PBE-GGA relaxed; values from VASP
! Space-group type: Fm-3m, No. 225
! Energy relative to the elements in eV per atom: 0.915
! Total energy in eV per atom: -5.23
&SYSTEM
  ibrav = 0, nat = 4, ntyp = 3
/
ATOMIC_SPECIES
Pb 207.20 Pb.upf
B 10.81 B.upf
Co 58.93 Co.upf
ATOMIC_POSITIONS crystal
Pb 0.500 0.500 0.500
B 0.000 0.000 0.000
Co 0.250 0.250 0.250
Co 0.750 0.750 0.750
CELL_PARAMETERS angstrom
0.000 2.953 2.953
2.953 0.000 2.953
2.953 2.953 0.000

Record 12
! CoBSb2Pb PBE-GGA relaxed; values from VASP
! Space-group type: P4/mmm, No. 123
! Formation energy without anion corrections in kJ per mole of atoms: 105.4
! Total energy in eV per atom: -4.05
&SYSTEM
  ibrav = 0, nat = 5, ntyp = 4
/
ATOMIC_SPECIES
Pb 207.20 Pb.upf
Sb 121.76 Sb.upf
B 10.81 B.upf
Co 58.93 Co.upf
ATOMIC_POSITIONS crystal
Pb 0.000 0.500 0.000
Sb 0.000 0.000 0.500
Sb 0.500 0.000 0.000
B 0.500 0.500 0.500
Co 0.000 0.000 0.000
CELL_PARAMETERS angstrom
-1.133 -2.259 4.105
4.572 0.900 1.757
-1.538 4.168 1.869